[1]
Fe2Pt4Rh: optimized geometry, GGA-PBE.

a = 6.4868 Å, b = 6.4868 Å, c = 6.4868 Å
α = 110.14°, β = 110.14°, γ = 108.15°
Last column: nearest neighbours and their distance in Å.
Sites, in units of the cell vectors:
Fe1 0.0200 0.6250 0.8950  8 Pt 2.52-2.62
Fe2 0.3750 0.2700 0.3950  8 Pt 2.52-2.62
Fe3 0.7300 0.1250 0.1050  8 Pt 2.52-2.62
Fe4 0.8750 0.9800 0.6050  8 Pt 2.52-2.62
Pt1 0.0976 0.3561 0.5759  4 Fe 2.52-2.62, 2 Rh 2.65-2.72, 2 Pt 2.66-2.67
Pt2 0.1061 0.3476 0.0759  4 Fe 2.52-2.62, 2 Rh 2.65-2.72, 2 Pt 2.66-2.67
Pt3 0.2717 0.0301 0.9241  4 Fe 2.52-2.62, 2 Rh 2.65-2.72, 2 Pt 2.66-2.67
Pt4 0.4783 0.9024 0.2585  4 Fe 2.52-2.62, 2 Rh 2.65-2.72, 2 Pt 2.66-2.67
Pt5 0.6439 0.2199 0.7415  4 Fe 2.52-2.62, 2 Rh 2.65-2.72, 2 Pt 2.66-2.67
Pt6 0.6524 0.7283 0.7585  4 Fe 2.52-2.62, 2 Rh 2.65-2.72, 2 Pt 2.66-2.67
Pt7 0.7801 0.5217 0.4241  4 Fe 2.52-2.62, 2 Rh 2.65-2.72, 2 Pt 2.66-2.67
Pt8 0.9699 0.8939 0.2415  4 Fe 2.52-2.62, 2 Rh 2.65-2.72, 2 Pt 2.66-2.67
Rh1 0.2500 0.7500 0.5000  8 Pt 2.65-2.72
Rh2 0.5000 0.5000 0.0000  8 Pt 2.65-2.72

Results
energy of formation	0.3906	eV/atom
V	210.04	Å³/cell
space group	I-42d, No. 122
energy relative to the lowest polymorph listed for this composition	187	meV/atom
ρ	15732	kg/m³

=====

[2]
FePt4Rh5: optimized geometry, GGA-PBE.

a = 2.7530 Å, b = 2.7530 Å, c = 19.2118 Å
α = 90.00°, β = 90.00°, γ = 90.00°
Last column: nearest neighbours and their distance in Å.
Sites, in units of the cell vectors:
Fe1 0.0000 0.0000 0.0000  8 Rh 2.61, 4 Fe 2.75
Pt1 0.0000 0.0000 0.1944  4 Pt 2.75, 8 Rh 2.76-2.79
Pt2 0.0000 0.0000 0.3981  4 Pt 2.75, 8 Rh 2.76
Pt3 0.0000 0.0000 0.6019  4 Pt 2.75, 8 Rh 2.76
Pt4 0.0000 0.0000 0.8056  4 Pt 2.75, 8 Rh 2.76-2.79
Rh1 0.5000 0.5000 0.0901  4 Fe 2.61, 4 Rh 2.75, 4 Pt 2.79
Rh2 0.5000 0.5000 0.2963  4 Rh 2.75, 8 Pt 2.76
Rh3 0.5000 0.5000 0.5000  4 Rh 2.75, 8 Pt 2.76
Rh4 0.5000 0.5000 0.7037  4 Rh 2.75, 8 Pt 2.76
Rh5 0.5000 0.5000 0.9099  4 Fe 2.61, 4 Rh 2.75, 4 Pt 2.79

Results
energy of formation	-0.0380	eV/atom
V	145.61	Å³/cell
space group	P4/mmm, No. 123
ρ	15404	kg/m³

=====

[3]
FePt3Rh3: optimized geometry, GGA-PBE.

a = 7.2550 Å, b = 7.2550 Å, c = 4.5159 Å
α = 90.00°, β = 90.00°, γ = 120.00°
Last column: nearest neighbours and their distance in Å.
Sites, in units of the cell vectors:
Fe1 0.3333 0.6667 0.2500  3 Pt 2.67, 9 Rh 2.75
Fe2 0.6667 0.3333 0.7500  3 Pt 2.67, 9 Rh 2.75
Pt1 0.0549 0.2494 0.2500  1 Fe 2.67, 5 Rh 2.71-2.78, 6 Pt 2.79-2.85
Pt2 0.1944 0.9451 0.2500  1 Fe 2.67, 5 Rh 2.71-2.78, 6 Pt 2.79-2.85
Pt3 0.2494 0.1944 0.7500  1 Fe 2.67, 5 Rh 2.71-2.78, 6 Pt 2.79-2.85
Pt4 0.7506 0.8056 0.2500  1 Fe 2.67, 5 Rh 2.71-2.78, 6 Pt 2.79-2.85
Pt5 0.8056 0.0549 0.7500  1 Fe 2.67, 5 Rh 2.71-2.78, 6 Pt 2.79-2.85
Pt6 0.9451 0.7506 0.7500  1 Fe 2.67, 5 Rh 2.71-2.78, 6 Pt 2.79-2.85
Rh1 0.0962 0.4768 0.7500  5 Pt 2.71-2.78, 4 Rh 2.73-2.76, 3 Fe 2.75
Rh2 0.3806 0.9038 0.7500  5 Pt 2.71-2.78, 4 Rh 2.73-2.76, 3 Fe 2.75
Rh3 0.4768 0.3806 0.2500  5 Pt 2.71-2.78, 4 Rh 2.73-2.76, 3 Fe 2.75
Rh4 0.5232 0.6194 0.7500  5 Pt 2.71-2.78, 4 Rh 2.73-2.76, 3 Fe 2.75
Rh5 0.6194 0.0962 0.2500  5 Pt 2.71-2.78, 4 Rh 2.73-2.76, 3 Fe 2.75
Rh6 0.9038 0.5232 0.2500  5 Pt 2.71-2.78, 4 Rh 2.73-2.76, 3 Fe 2.75

Results
energy of formation	-0.0294	eV/atom
V	205.85	Å³/cell
space group	P6_3/m, No. 176
ρ	15324	kg/m³

=====

[4]
FePt5Rh3: optimized geometry, GGA-PBE.

a = 8.1872 Å, b = 8.1872 Å, c = 8.1872 Å
α = 132.61°, β = 132.61°, γ = 69.26°
Last column: nearest neighbours and their distance in Å.
Sites, in units of the cell vectors:
Fe1 0.2500 0.7500 0.5000  4 Pt 2.43
Fe2 0.7500 0.2500 0.5000  4 Pt 2.43
Pt1 0.0000 0.0000 0.0000  4 Rh 2.61
Pt2 0.0678 0.5678 0.9362  1 Fe 2.43, 3 Rh 2.51-2.70
Pt3 0.1316 0.0678 0.5000  1 Fe 2.43, 3 Rh 2.51-2.70
Pt4 0.3684 0.8684 0.9362  1 Fe 2.43, 3 Rh 2.51-2.70
Pt5 0.4322 0.3684 0.5000  1 Fe 2.43, 3 Rh 2.51-2.70
Pt6 0.5000 0.5000 0.0000  4 Rh 2.61
Pt7 0.5678 0.6316 0.5000  1 Fe 2.43, 3 Rh 2.51-2.70
Pt8 0.6316 0.1316 0.0638  1 Fe 2.43, 3 Rh 2.51-2.70
Pt9 0.8684 0.9322 0.5000  1 Fe 2.43, 3 Rh 2.51-2.70
Pt10 0.9322 0.4322 0.0638  1 Fe 2.43, 3 Rh 2.51-2.70
Rh1 0.1225 0.3775 0.5000  1 Rh 2.28, 2 Pt 2.51
Rh2 0.2500 0.2500 0.0000  8 Pt 2.70
Rh3 0.3775 0.8775 0.2551  1 Rh 2.28, 2 Pt 2.51
Rh4 0.6225 0.1225 0.7449  1 Rh 2.28, 2 Pt 2.51
Rh5 0.7500 0.7500 0.0000  8 Pt 2.70
Rh6 0.8775 0.6225 0.5000  1 Rh 2.28, 2 Pt 2.51

Results
energy of formation	0.3390	eV/atom
V	291.66	Å³/cell
space group	I4/mcm, No. 140
ρ	15258	kg/m³

=====

[5]
Fe4Pt2Rh3: optimized geometry, GGA-PBE.

a = 4.6127 Å, b = 4.6127 Å, c = 8.0432 Å
α = 104.83°, β = 104.83°, γ = 49.01°
Last column: nearest neighbours and their distance in Å.
Sites, in units of the cell vectors:
Fe1 0.0032 0.0032 0.3352  6 Rh 2.65-2.71, 3 Fe 2.67-2.75, 3 Pt 2.67-2.70
Fe2 0.3335 0.3335 0.1074  4 Pt 2.63-2.70, 4 Rh 2.65-2.69, 4 Fe 2.69-2.75
Fe3 0.6665 0.6665 0.8926  4 Pt 2.63-2.70, 4 Rh 2.65-2.69, 4 Fe 2.69-2.75
Fe4 0.9968 0.9968 0.6648  6 Rh 2.65-2.71, 3 Fe 2.67-2.75, 3 Pt 2.67-2.70
Pt1 0.3319 0.3319 0.7796  7 Fe 2.63-2.70, 5 Rh 2.72-2.73
Pt2 0.6681 0.6681 0.2204  7 Fe 2.63-2.70, 5 Rh 2.72-2.73
Rh1 0.0000 0.0000 0.0000  8 Fe 2.65-2.69, 4 Pt 2.72
Rh2 0.3367 0.3367 0.4413  3 Rh 2.64-2.73, 6 Fe 2.65-2.71, 3 Pt 2.72-2.73
Rh3 0.6633 0.6633 0.5587  3 Rh 2.64-2.73, 6 Fe 2.65-2.71, 3 Pt 2.72-2.73

Results
energy of formation	-0.1099	eV/atom
V	123.95	Å³/cell
space group	C2/m, No. 12
ρ	12355	kg/m³

=====

[6]
Fe9Pt4Rh11: optimized geometry, GGA-PBE.

a = 11.1005 Å, b = 11.1005 Å, c = 2.7441 Å
α = 90.00°, β = 90.00°, γ = 99.02°
Last column: nearest neighbours and their distance in Å.
Sites, in units of the cell vectors:
Fe1 0.0000 0.0000 0.0000  4 Pt 2.54, 2 Fe 2.74, 4 Rh 2.82
Fe2 0.1056 0.6447 0.0000  1 Pt 2.58, 8 Rh 2.60-2.70, 2 Fe 2.74
Fe3 0.2979 0.4923 0.0000  8 Rh 2.58-2.62, 2 Fe 2.74
Fe4 0.3553 0.8944 0.0000  1 Pt 2.58, 8 Rh 2.60-2.70, 2 Fe 2.74
Fe5 0.4923 0.2979 0.0000  8 Rh 2.58-2.62, 2 Fe 2.74
Fe6 0.5077 0.7021 0.0000  8 Rh 2.58-2.62, 2 Fe 2.74
Fe7 0.6447 0.1056 0.0000  1 Pt 2.58, 8 Rh 2.60-2.70, 2 Fe 2.74
Fe8 0.7021 0.5077 0.0000  8 Rh 2.58-2.62, 2 Fe 2.74
Fe9 0.8944 0.3553 0.0000  1 Pt 2.58, 8 Rh 2.60-2.70, 2 Fe 2.74
Pt1 0.0708 0.2290 0.0000  2 Fe 2.54-2.58, 3 Pt 2.67-2.74, 6 Rh 2.73-2.82
Pt2 0.2290 0.0708 0.0000  2 Fe 2.54-2.58, 3 Pt 2.67-2.74, 6 Rh 2.73-2.82
Pt3 0.7710 0.9292 0.0000  2 Fe 2.54-2.58, 3 Pt 2.67-2.74, 6 Rh 2.73-2.82
Pt4 0.9292 0.7710 0.0000  2 Fe 2.54-2.58, 3 Pt 2.67-2.74, 6 Rh 2.73-2.82
Rh1 0.0989 0.4446 0.5000  6 Fe 2.58-2.70, 3 Rh 2.68-2.74, 2 Pt 2.73
Rh2 0.1458 0.8542 0.5000  6 Fe 2.68-2.82, 3 Rh 2.74-2.75, 4 Pt 2.80
Rh3 0.2935 0.2935 0.5000  4 Fe 2.59, 2 Rh 2.74, 4 Pt 2.82
Rh4 0.3085 0.6915 0.5000  8 Fe 2.59-2.62, 3 Rh 2.74-2.75
Rh5 0.4446 0.0989 0.5000  6 Fe 2.58-2.70, 3 Rh 2.68-2.74, 2 Pt 2.73
Rh6 0.5000 0.5000 0.5000  8 Fe 2.62, 2 Rh 2.74
Rh7 0.5554 0.9011 0.5000  6 Fe 2.58-2.70, 3 Rh 2.68-2.74, 2 Pt 2.73
Rh8 0.6915 0.3085 0.5000  8 Fe 2.59-2.62, 3 Rh 2.74-2.75
Rh9 0.7065 0.7065 0.5000  4 Fe 2.59, 2 Rh 2.74, 4 Pt 2.82
Rh10 0.8542 0.1458 0.5000  6 Fe 2.68-2.82, 3 Rh 2.74-2.75, 4 Pt 2.80
Rh11 0.9011 0.5554 0.5000  6 Fe 2.58-2.70, 3 Rh 2.68-2.74, 2 Pt 2.73

Results
energy of formation	-0.0361	eV/atom
V	333.96	Å³/cell
space group	Cmmm, No. 65
ρ	12008	kg/m³